Density functional theory data (PBE) for a relaxed TbDy2YIr4 crystal.

## Properties
Total moment: 0.0 μB/cell
Crystal system: tetragonal
E_form: -0.80 eV per atom
Total energy: -0.5708 Ry per atom

Cell and atoms, written as CIF:
```
data_TbDy2YIr4
_chemical_formula_sum 'Tb1 Dy2 Y1 Ir4'
_cell_length_a 4.845
_cell_length_b 4.845
_cell_length_c 6.852
_cell_angle_alpha 90.00
_cell_angle_beta 90.00
_cell_angle_gamma 90.00
_space_group_name_H-M_alt 'P 4/m m m'
_space_group_IT_number 123
_space_group_name_Hall '-P 4 2'
loop_
_atom_site_label
_atom_site_fract_x
_atom_site_fract_y
_atom_site_fract_z
Tb1 0.000 0.000 0.000
Dy1 0.000 0.000 0.500
Dy2 0.500 0.500 0.000
Y1 0.500 0.500 0.500
Ir1 0.000 0.500 0.250
```